Record 1
VASP calculation (PBE-GGA) on a geometry-optimized Mg3InNi4 structure.

Cell: 4.3443 6.1369 8.6873 Å, 90.00 90.00 90.00°
Closest atoms and distances in Å follow each position.
Sites, in units of the cell vectors:
Ni1 0.5000 0.7528 0.0000  6 Mg 2.65-2.67, 2 In 2.67
Ni2 0.5000 0.7528 0.5000  6 Mg 2.65-2.67, 2 In 2.67
Ni3 0.5000 0.2472 0.0000  6 Mg 2.65-2.67, 2 In 2.67
Ni4 0.5000 0.2472 0.5000  6 Mg 2.65-2.67, 2 In 2.67
Ni5 0.0011 0.7528 0.7500  6 Mg 2.65-2.67, 2 In 2.67
Ni6 0.9989 0.7528 0.2500  6 Mg 2.65-2.67, 2 In 2.67
Ni7 0.9989 0.2472 0.2500  6 Mg 2.65-2.67, 2 In 2.67
Ni8 0.0011 0.2472 0.7500  6 Mg 2.65-2.67, 2 In 2.67
Mg1 0.0000 0.0000 0.0000  8 Ni 2.65
Mg2 0.0000 0.0000 0.5000  8 Ni 2.65
Mg3 0.5007 0.0000 0.7500  8 Ni 2.65
Mg4 0.4993 0.0000 0.2500  8 Ni 2.65
Mg5 0.5007 0.5000 0.7500  8 Ni 2.67
Mg6 0.4993 0.5000 0.2500  8 Ni 2.67
In1 0.0000 0.5000 0.0000  8 Ni 2.67
In2 0.0000 0.5000 0.5000  8 Ni 2.67

Properties
- DOS(E_F) (states/eV/atom) = 0.557
- energy of formation (eV/atom) = -0.175

***

Record 2
VASP calculation (PBE-GGA) on a geometry-optimized Mg8In5Ni structure.

Cell: 7.5020 7.5020 7.5020 Å, 111.12 111.12 106.22°
Closest atoms and distances in Å follow each position.
Sites, in units of the cell vectors:
Mg1 0.0595 0.7669 0.1347  1 Ni 2.66
Mg2 0.2331 0.3678 0.2926  1 Ni 2.66
Mg3 0.5483 0.8163 0.4009  1 Ni 2.58
Mg4 0.1837 0.5846 0.7321  1 Ni 2.58
Mg5 0.8526 0.4517 0.2679  1 Ni 2.58
Mg6 0.0753 0.9405 0.7074  1 Ni 2.66
Mg7 0.6322 0.9247 0.8653  1 Ni 2.66
Mg8 0.4154 0.1474 0.5991  1 Ni 2.58
In1 0.9272 0.2853 0.8340  8 Mg 3.04-3.35, 2 In 3.27
In2 0.7147 0.5487 0.6420  8 Mg 3.04-3.35, 2 In 3.27
In3 0.4513 0.0932 0.1660  8 Mg 3.04-3.35, 2 In 3.27
In4 0.5000 0.5000 0.0000  4 Mg 2.90
In5 0.9068 0.0728 0.3580  8 Mg 3.04-3.35, 2 In 3.27
Ni1 0.2500 0.7500 0.5000  8 Mg 2.58-2.66

Properties
- DOS(E_F) (states/eV/atom) = 0.290
- energy of formation (eV/atom) = -0.053

***

Record 3
VASP calculation (PBE-GGA) on a geometry-optimized Mg3InNi structure.

Cell: 5.2439 5.2439 5.2439 Å, 90.00 90.00 90.00°
Closest atoms and distances in Å follow each position.
Sites, in units of the cell vectors:
Ni1 0.5000 0.5000 0.5000  12 Mg 3.71
Mg1 0.0000 0.5000 0.0000  2 In 2.62
Mg2 0.0000 0.0000 0.5000  2 In 2.62
Mg3 0.5000 0.0000 0.0000  2 In 2.62
In1 0.0000 0.0000 0.0000  6 Mg 2.62

Properties
- DOS(E_F) (states/eV/atom) = 1.566
- energy of formation (eV/atom) = 0.811